A | ## Mn3NbTl (PBE-GGA)

Data for a relaxed Mn3NbTl crystal.

Structure (CIF):
```
data_Mn3NbTl
_chemical_formula_sum 'Mn3 Nb1 Tl1'
_symmetry_space_group_name_H-M 'P m -3 m'
_symmetry_Int_Tables_number 221
_symmetry_space_group_name_Hall '-P 4 2 3'
_cell_length_a 4.807
_cell_length_b 4.807
_cell_length_c 4.807
_cell_angle_alpha 90.00
_cell_angle_beta 90.00
_cell_angle_gamma 90.00
loop_
_atom_site_label
_atom_site_fract_x
_atom_site_fract_y
_atom_site_fract_z
Mn1 0.000 0.000 0.500
Nb1 0.000 0.000 0.000
Tl1 0.500 0.500 0.500
```

=====

B | ## Mn3NbTl (PBE-GGA)

Data for a relaxed Mn3NbTl crystal.

Structure (CIF):
```
data_Mn3NbTl
_chemical_formula_sum 'Mn3 Nb1 Tl1'
_symmetry_space_group_name_H-M 'P m -3 m'
_symmetry_Int_Tables_number 221
_symmetry_space_group_name_Hall '-P 4 2 3'
_cell_length_a 4.945
_cell_length_b 4.945
_cell_length_c 4.945
_cell_angle_alpha 90.00
_cell_angle_beta 90.00
_cell_angle_gamma 90.00
loop_
_atom_site_label
_atom_site_fract_x
_atom_site_fract_y
_atom_site_fract_z
Mn1 0.000 0.000 0.500
Nb1 0.500 0.500 0.500
Tl1 0.000 0.000 0.000
```

=====

The most stable of them is A.

=====

A | ## TmMnNb (PBE-GGA)

Data for a relaxed TmMnNb crystal.

Structure (CIF):
```
data_TmMnNb
_chemical_formula_sum 'Tm8 Mn8 Nb8'
_symmetry_space_group_name_H-M 'F m m m'
_symmetry_Int_Tables_number 69
_symmetry_space_group_name_Hall '-F 2 2'
_cell_length_a 5.659
_cell_length_b 8.322
_cell_length_c 9.751
_cell_angle_alpha 90.00
_cell_angle_beta 90.00
_cell_angle_gamma 90.00
loop_
_atom_site_label
_atom_site_fract_x
_atom_site_fract_y
_atom_site_fract_z
Tm1 0.000 0.179 0.000
Mn1 0.250 0.250 0.250
Nb1 0.000 0.000 0.324
```

=====

B | ## TmMnNb (PBE-GGA)

Data for a relaxed TmMnNb crystal.

Structure (CIF):
```
data_TmMnNb
_chemical_formula_sum 'Tm2 Mn2 Nb2'
_symmetry_space_group_name_H-M 'I 4 m m'
_symmetry_Int_Tables_number 107
_symmetry_space_group_name_Hall 'I 4 -2'
_cell_length_a 3.213
_cell_length_b 3.213
_cell_length_c 10.729
_cell_angle_alpha 90.00
_cell_angle_beta 90.00
_cell_angle_gamma 90.00
loop_
_atom_site_label
_atom_site_fract_x
_atom_site_fract_y
_atom_site_fract_z
Tm1 0.000 0.000 0.000
Mn1 0.000 0.000 0.678
Nb1 0.000 0.000 0.293
```

=====

The most stable of them is A.

=====

A | ## Mn4NbV (PBE-GGA)

Data for a relaxed Mn4NbV crystal.

Structure (CIF):
```
data_Mn4NbV
_chemical_formula_sum 'Mn16 Nb4 V4'
_symmetry_space_group_name_H-M 'F -4 3 m'
_symmetry_Int_Tables_number 216
_symmetry_space_group_name_Hall 'F -4 2 3'
_cell_length_a 6.703
_cell_length_b 6.703
_cell_length_c 6.703
_cell_angle_alpha 90.00
_cell_angle_beta 90.00
_cell_angle_gamma 90.00
loop_
_atom_site_label
_atom_site_fract_x
_atom_site_fract_y
_atom_site_fract_z
Mn1 0.125 0.125 0.125
Nb1 0.250 0.250 0.750
V1 0.000 0.000 0.500
```

=====

B | ## Mn4NbV (PBE-GGA)

Data for a relaxed Mn4NbV crystal.

Structure (CIF):
```
data_Mn4NbV
_chemical_formula_sum 'Mn8 Nb2 V2'
_symmetry_space_group_name_H-M 'P m m a'
_symmetry_Int_Tables_number 51
_symmetry_space_group_name_Hall '-P 2a 2a'
_cell_length_a 5.836
_cell_length_b 4.020
_cell_length_c 6.600
_cell_angle_alpha 90.00
_cell_angle_beta 90.00
_cell_angle_gamma 90.00
loop_
_atom_site_label
_atom_site_fract_x
_atom_site_fract_y
_atom_site_fract_z
Mn1 0.000 0.000 0.000
Mn2 0.028 0.500 0.325
Mn3 0.250 0.500 0.957
Nb1 0.250 0.000 0.638
V1 0.250 0.000 0.252
```

=====

The most stable of them is A.

=====

A | ## Mn2Nb2V (PBE-GGA)

Data for a relaxed Mn2Nb2V crystal.

Structure (CIF):
```
data_Mn2Nb2V
_chemical_formula_sum 'Mn4 Nb4 V2'
_symmetry_space_group_name_H-M 'P 4/m b m'
_symmetry_Int_Tables_number 127
_symmetry_space_group_name_Hall '-P 4 2ab'
_cell_length_a 6.690
_cell_length_b 6.690
_cell_length_c 3.326
_cell_angle_alpha 90.00
_cell_angle_beta 90.00
_cell_angle_gamma 90.00
loop_
_atom_site_label
_atom_site_fract_x
_atom_site_fract_y
_atom_site_fract_z
Mn1 0.110 0.390 0.000
Nb1 0.196 0.696 0.500
V1 0.000 0.000 0.000
```

=====

B | ## Mn2Nb2V (PBE-GGA)

Data for a relaxed Mn2Nb2V crystal.

Structure (CIF):
```
data_Mn2Nb2V
_chemical_formula_sum 'Mn4 Nb4 V2'
_symmetry_space_group_name_H-M 'C m m m'
_symmetry_Int_Tables_number 65
_symmetry_space_group_name_Hall '-C 2 2'
_cell_length_a 2.890
_cell_length_b 17.639
_cell_length_c 2.879
_cell_angle_alpha 90.00
_cell_angle_beta 90.00
_cell_angle_gamma 90.00
loop_
_atom_site_label
_atom_site_fract_x
_atom_site_fract_y
_atom_site_fract_z
Mn1 0.000 0.080 0.000
Nb1 0.000 0.326 0.500
V1 0.000 0.500 0.500
```

=====

The most stable of them is B.

=====

A | ## MnNb2V (PBE-GGA)

Data for a relaxed MnNb2V crystal.

Structure (CIF):
```
data_MnNb2V
_chemical_formula_sum 'Mn1 Nb2 V1'
_symmetry_space_group_name_H-M 'P 4/m m m'
_symmetry_Int_Tables_number 123
_symmetry_space_group_name_Hall '-P 4 2'
_cell_length_a 3.106
_cell_length_b 3.106
_cell_length_c 6.288
_cell_angle_alpha 90.00
_cell_angle_beta 90.00
_cell_angle_gamma 90.00
loop_
_atom_site_label
_atom_site_fract_x
_atom_site_fract_y
_atom_site_fract_z
Mn1 0.000 0.000 0.000
Nb1 0.500 0.500 0.243
V1 0.000 0.000 0.500
```

=====

B | ## MnNb2V (PBE-GGA)

Data for a relaxed MnNb2V crystal.

Structure (CIF):
```
data_MnNb2V
_chemical_formula_sum 'Mn4 Nb8 V4'
_symmetry_space_group_name_H-M 'F m -3 m'
_symmetry_Int_Tables_number 225
_symmetry_space_group_name_Hall '-F 4 2 3'
_cell_length_a 6.235
_cell_length_b 6.235
_cell_length_c 6.235
_cell_angle_alpha 90.00
_cell_angle_beta 90.00
_cell_angle_gamma 90.00
loop_
_atom_site_label
_atom_site_fract_x
_atom_site_fract_y
_atom_site_fract_z
Mn1 0.000 0.000 0.000
Nb1 0.250 0.250 0.250
V1 0.000 0.000 0.500
```

=====

C | ## MnNb2V (PBE-GGA)

Data for a relaxed MnNb2V crystal.

Structure (CIF):
```
data_MnNb2V
_chemical_formula_sum 'Mn1 Nb2 V1'
_symmetry_space_group_name_H-M 'P 4/m m m'
_symmetry_Int_Tables_number 123
_symmetry_space_group_name_Hall '-P 4 2'
_cell_length_a 4.403
_cell_length_b 4.403
_cell_length_c 3.121
_cell_angle_alpha 90.00
_cell_angle_beta 90.00
_cell_angle_gamma 90.00
loop_
_atom_site_label
_atom_site_fract_x
_atom_site_fract_y
_atom_site_fract_z
Mn1 0.000 0.000 0.000
Nb1 0.000 0.500 0.500
V1 0.500 0.500 0.000
```

=====

D | ## MnNb2V (PBE-GGA)

Data for a relaxed MnNb2V crystal.

Structure (CIF):
```
data_MnNb2V
_chemical_formula_sum 'Mn4 Nb8 V4'
_symmetry_space_group_name_H-M 'I -4 2 d'
_symmetry_Int_Tables_number 122
_symmetry_space_group_name_Hall 'I -4 2bw'
_cell_length_a 6.939
_cell_length_b 6.939
_cell_length_c 5.384
_cell_angle_alpha 90.00
_cell_angle_beta 90.00
_cell_angle_gamma 90.00
loop_
_atom_site_label
_atom_site_fract_x
_atom_site_fract_y
_atom_site_fract_z
Mn1 0.000 0.000 0.000
Nb1 0.230 0.250 0.125
V1 0.000 0.000 0.500
```

=====

The most stable of them is A.

=====

A | ## MnNbV (PBE-GGA)

Data for a relaxed MnNbV crystal.

Structure (CIF):
```
data_MnNbV
_chemical_formula_sum 'Mn1 Nb1 V1'
_symmetry_space_group_name_H-M 'P 3 m 1'
_symmetry_Int_Tables_number 156
_symmetry_space_group_name_Hall 'P 3 -2"'
_cell_length_a 4.1965
_cell_length_b 4.1965
_cell_length_c 2.7828
_cell_angle_alpha 90.00
_cell_angle_beta 90.00
_cell_angle_gamma 120.00
loop_
_atom_site_label
_atom_site_fract_x
_atom_site_fract_y
_atom_site_fract_z
Mn1 0.0000 0.0000 0.0000
Nb1 0.3333 0.6667 0.3311
V1 0.6667 0.3333 0.6840
```

=====

B | ## MnNbV (PBE-GGA)

Data for a relaxed MnNbV crystal.

Structure (CIF):
```
data_MnNbV
_chemical_formula_sum 'Mn4 Nb4 V4'
_symmetry_space_group_name_H-M 'I m m a'
_symmetry_Int_Tables_number 74
_symmetry_space_group_name_Hall '-I 2b 2'
_cell_length_a 4.985
_cell_length_b 5.017
_cell_length_c 6.865
_cell_angle_alpha 90.00
_cell_angle_beta 90.00
_cell_angle_gamma 90.00
loop_
_atom_site_label
_atom_site_fract_x
_atom_site_fract_y
_atom_site_fract_z
Mn1 0.000 0.000 0.000
Nb1 0.000 0.250 0.372
V1 0.250 0.250 0.750
```

=====

C | ## MnNbV (PBE-GGA)

Data for a relaxed MnNbV crystal.

Structure (CIF):
```
data_MnNbV
_chemical_formula_sum 'Mn2 Nb2 V2'
_symmetry_space_group_name_H-M 'I 4 m m'
_symmetry_Int_Tables_number 107
_symmetry_space_group_name_Hall 'I 4 -2'
_cell_length_a 3.015
_cell_length_b 3.015
_cell_length_c 9.326
_cell_angle_alpha 90.00
_cell_angle_beta 90.00
_cell_angle_gamma 90.00
loop_
_atom_site_label
_atom_site_fract_x
_atom_site_fract_y
_atom_site_fract_z
Mn1 0.000 0.000 0.000
Nb1 0.000 0.000 0.669
V1 0.000 0.000 0.352
```

=====

The most stable of them is B.

=====

A | ## MnNbV (PBE-GGA)

Data for a relaxed MnNbV crystal.

Structure (CIF):
```
data_MnNbV
_chemical_formula_sum 'Mn4 Nb4 V4'
_symmetry_space_group_name_H-M 'C m c m'
_symmetry_Int_Tables_number 63
_symmetry_space_group_name_Hall '-C 2c 2'
_cell_length_a 3.030
_cell_length_b 13.081
_cell_length_c 4.276
_cell_angle_alpha 90.00
_cell_angle_beta 90.00
_cell_angle_gamma 90.00
loop_
_atom_site_label
_atom_site_fract_x
_atom_site_fract_y
_atom_site_fract_z
Mn1 0.000 0.088 0.250
Nb1 0.000 0.417 0.250
V1 0.000 0.257 0.750
```

=====

B | ## MnNbV (PBE-GGA)

Data for a relaxed MnNbV crystal.

Structure (CIF):
```
data_MnNbV
_chemical_formula_sum 'Mn4 Nb4 V4'
_symmetry_space_group_name_H-M 'C m c m'
_symmetry_Int_Tables_number 63
_symmetry_space_group_name_Hall '-C 2c 2'
_cell_length_a 3.694
_cell_length_b 8.295
_cell_length_c 5.732
_cell_angle_alpha 90.00
_cell_angle_beta 90.00
_cell_angle_gamma 90.00
loop_
_atom_site_label
_atom_site_fract_x
_atom_site_fract_y
_atom_site_fract_z
Mn1 0.000 0.163 0.250
Nb1 0.000 0.500 0.000
V1 0.000 0.187 0.750
```

=====

The most stable of them is A.

=====

A | ## MnNbV2 (PBE-GGA)

Data for a relaxed MnNbV2 crystal.

Structure (CIF):
```
data_MnNbV2
_chemical_formula_sum 'Mn8 Nb8 V16'
_symmetry_space_group_name_H-M 'F m m m'
_symmetry_Int_Tables_number 69
_symmetry_space_group_name_Hall '-F 2 2'
_cell_length_a 6.033
_cell_length_b 6.042
_cell_length_c 12.240
_cell_angle_alpha 90.00
_cell_angle_beta 90.00
_cell_angle_gamma 90.00
loop_
_atom_site_label
_atom_site_fract_x
_atom_site_fract_y
_atom_site_fract_z
Mn1 0.250 0.250 0.250
Nb1 0.000 0.000 0.131
V1 0.000 0.000 0.374
V2 0.250 0.250 0.000
```

=====

B | ## MnNbV2 (PBE-GGA)

Data for a relaxed MnNbV2 crystal.

Structure (CIF):
```
data_MnNbV2
_chemical_formula_sum 'Mn4 Nb4 V8'
_symmetry_space_group_name_H-M 'F m -3 m'
_symmetry_Int_Tables_number 225
_symmetry_space_group_name_Hall '-F 4 2 3'
_cell_length_a 6.051
_cell_length_b 6.051
_cell_length_c 6.051
_cell_angle_alpha 90.00
_cell_angle_beta 90.00
_cell_angle_gamma 90.00
loop_
_atom_site_label
_atom_site_fract_x
_atom_site_fract_y
_atom_site_fract_z
Mn1 0.000 0.000 0.000
Nb1 0.000 0.000 0.500
V1 0.250 0.250 0.250
```

=====

The most stable of them is A.

=====

A | ## MnNbV2 (PBE-GGA)

Data for a relaxed MnNbV2 crystal.

Structure (CIF):
```
data_MnNbV2
_chemical_formula_sum 'Mn4 Nb4 V8'
_symmetry_space_group_name_H-M 'I -4 2 d'
_symmetry_Int_Tables_number 122
_symmetry_space_group_name_Hall 'I -4 2bw'
_cell_length_a 6.758
_cell_length_b 6.758
_cell_length_c 5.181
_cell_angle_alpha 90.00
_cell_angle_beta 90.00
_cell_angle_gamma 90.00
loop_
_atom_site_label
_atom_site_fract_x
_atom_site_fract_y
_atom_site_fract_z
Mn1 0.000 0.000 0.000
Nb1 0.000 0.000 0.500
V1 0.212 0.250 0.125
```

=====

B | ## MnNbV2 (PBE-GGA)

Data for a relaxed MnNbV2 crystal.

Structure (CIF):
```
data_MnNbV2
_chemical_formula_sum 'Mn1 Nb1 V2'
_symmetry_space_group_name_H-M 'P 4/m m m'
_symmetry_Int_Tables_number 123
_symmetry_space_group_name_Hall '-P 4 2'
_cell_length_a 2.995
_cell_length_b 2.995
_cell_length_c 6.205
_cell_angle_alpha 90.00
_cell_angle_beta 90.00
_cell_angle_gamma 90.00
loop_
_atom_site_label
_atom_site_fract_x
_atom_site_fract_y
_atom_site_fract_z
Mn1 0.000 0.000 0.000
Nb1 0.000 0.000 0.500
V1 0.500 0.500 0.227
```

=====

The most stable of them is B.

=====

A | ## Y2MnNb (PBE-GGA)

Data for a relaxed Y2MnNb crystal.

Structure (CIF):
```
data_Y2MnNb
_chemical_formula_sum 'Y8 Mn4 Nb4'
_symmetry_space_group_name_H-M 'I -4 2 d'
_symmetry_Int_Tables_number 122
_symmetry_space_group_name_Hall 'I -4 2bw'
_cell_length_a 7.930
_cell_length_b 7.930
_cell_length_c 5.725
_cell_angle_alpha 90.00
_cell_angle_beta 90.00
_cell_angle_gamma 90.00
loop_
_atom_site_label
_atom_site_fract_x
_atom_site_fract_y
_atom_site_fract_z
Y1 0.197 0.250 0.125
Mn1 0.000 0.000 0.000
Nb1 0.000 0.000 0.500
```

=====

B | ## Y2MnNb (PBE-GGA)

Data for a relaxed Y2MnNb crystal.

Structure (CIF):
```
data_Y2MnNb
_chemical_formula_sum 'Y8 Mn4 Nb4'
_symmetry_space_group_name_H-M 'F m -3 m'
_symmetry_Int_Tables_number 225
_symmetry_space_group_name_Hall '-F 4 2 3'
_cell_length_a 7.008
_cell_length_b 7.008
_cell_length_c 7.008
_cell_angle_alpha 90.00
_cell_angle_beta 90.00
_cell_angle_gamma 90.00
loop_
_atom_site_label
_atom_site_fract_x
_atom_site_fract_y
_atom_site_fract_z
Y1 0.250 0.250 0.250
Mn1 0.000 0.000 0.000
Nb1 0.000 0.000 0.500
```

=====

The most stable of them is B.

=====

A | ## Mn3NbZn (PBE-GGA)

Data for a relaxed Mn3NbZn crystal.

Structure (CIF):
```
data_Mn3NbZn
_chemical_formula_sum 'Mn3 Nb1 Zn1'
_symmetry_space_group_name_H-M 'P m -3 m'
_symmetry_Int_Tables_number 221
_symmetry_space_group_name_Hall '-P 4 2 3'
_cell_length_a 4.673
_cell_length_b 4.673
_cell_length_c 4.673
_cell_angle_alpha 90.00
_cell_angle_beta 90.00
_cell_angle_gamma 90.00
loop_
_atom_site_label
_atom_site_fract_x
_atom_site_fract_y
_atom_site_fract_z
Mn1 0.000 0.000 0.500
Nb1 0.000 0.000 0.000
Zn1 0.500 0.500 0.500
```

=====

B | ## Mn3NbZn (PBE-GGA)

Data for a relaxed Mn3NbZn crystal.

Structure (CIF):
```
data_Mn3NbZn
_chemical_formula_sum 'Mn3 Nb1 Zn1'
_symmetry_space_group_name_H-M 'P m -3 m'
_symmetry_Int_Tables_number 221
_symmetry_space_group_name_Hall '-P 4 2 3'
_cell_length_a 4.482
_cell_length_b 4.482
_cell_length_c 4.482
_cell_angle_alpha 90.00
_cell_angle_beta 90.00
_cell_angle_gamma 90.00
loop_
_atom_site_label
_atom_site_fract_x
_atom_site_fract_y
_atom_site_fract_z
Mn1 0.000 0.000 0.500
Nb1 0.500 0.500 0.500
Zn1 0.000 0.000 0.000
```

=====

The most stable of them is B.

=====

A | ## MnNbZn2 (PBE-GGA)

Data for a relaxed MnNbZn2 crystal.

Structure (CIF):
```
data_MnNbZn2
_chemical_formula_sum 'Mn1 Nb1 Zn2'
_symmetry_space_group_name_H-M 'P 4/m m m'
_symmetry_Int_Tables_number 123
_symmetry_space_group_name_Hall '-P 4 2'
_cell_length_a 3.715
_cell_length_b 3.715
_cell_length_c 4.265
_cell_angle_alpha 90.00
_cell_angle_beta 90.00
_cell_angle_gamma 90.00
loop_
_atom_site_label
_atom_site_fract_x
_atom_site_fract_y
_atom_site_fract_z
Mn1 0.000 0.000 0.000
Nb1 0.500 0.500 0.000
Zn1 0.000 0.500 0.500
```

=====

B | ## MnNbZn2 (PBE-GGA)

Data for a relaxed MnNbZn2 crystal.

Structure (CIF):
```
data_MnNbZn2
_chemical_formula_sum 'Mn1 Nb1 Zn2'
_symmetry_space_group_name_H-M 'P 4/m m m'
_symmetry_Int_Tables_number 123
_symmetry_space_group_name_Hall '-P 4 2'
_cell_length_a 2.814
_cell_length_b 2.814
_cell_length_c 7.619
_cell_angle_alpha 90.00
_cell_angle_beta 90.00
_cell_angle_gamma 90.00
loop_
_atom_site_label
_atom_site_fract_x
_atom_site_fract_y
_atom_site_fract_z
Mn1 0.000 0.000 0.000
Nb1 0.000 0.000 0.500
Zn1 0.500 0.500 0.231
```

=====

The most stable of them is B.